Computed, not measured: crystalline LiDyY at its relaxed geometry at the GGA-PBE level of DFT.

a b c (Å): 3.3042 5.6804 9.5499
angles (deg): 90.00 90.00 90.00
Fractional coordinates of all 6 atoms:
Li1 0.2500 0.2500 0.0711
Li2 0.7500 0.7500 0.9289
Dy1 0.2500 0.2500 0.4410
Dy2 0.7500 0.7500 0.5590
Y1 0.2500 0.7500 0.2346
Y2 0.7500 0.2500 0.7654

**Formation energy**: 23.7 kJ/mol of atoms
**V**: 179.24 Å³/cell
**Relative energy among the computed polymorphs**: 162 meV/atom
**Total magnetic moment**: 0.0 μB per cell